(a)
Here is a relaxed LiZnBO3 crystal from Alexandria. Energies are from PBEsol.

Cell: 5.081 5.081 6.005 Å, 114.98 114.98 59.74°
Positions (direct):
Li: 0.087 0.913 0.500
Li: 0.913 0.087 0.000
Zn: 0.578 0.756 0.005
Zn: 0.756 0.578 0.505
B: 0.267 0.447 0.082
B: 0.447 0.267 0.582
O: 0.003 0.729 0.099
O: 0.171 0.258 0.554
O: 0.258 0.171 0.054
O: 0.458 0.557 0.621
O: 0.557 0.458 0.121
O: 0.729 0.003 0.599

## Properties
theoretical density = 3.72 g/cm3
volume = 117.0 Å³ per cell

(b)
Here is a relaxed LiZnBO3 crystal from Alexandria. Energies are from PBEsol.

Cell: 4.977 4.981 11.169 Å, 90.88 91.03 119.84°
Positions (direct):
Li: 0.000 0.000 0.000
Li: 0.033 0.109 0.215
Li: 0.128 0.193 0.557
Li: 0.819 0.916 0.796
Zn: 0.134 0.565 0.368
Zn: 0.471 0.886 0.589
Zn: 0.490 0.265 0.831
Zn: 0.705 0.462 0.148
B: 0.150 0.589 0.863
B: 0.384 0.802 0.127
B: 0.468 0.216 0.375
B: 0.804 0.552 0.615
O: 0.054 0.528 0.580
O: 0.130 0.522 0.157
O: 0.131 0.301 0.870
O: 0.188 0.208 0.383
O: 0.345 0.058 0.113
O: 0.424 0.848 0.835
O: 0.488 0.960 0.409
O: 0.526 0.287 0.643
O: 0.673 0.828 0.116
O: 0.721 0.473 0.331
O: 0.821 0.836 0.628
O: 0.888 0.615 0.883

## Properties
theoretical density = 3.63 g/cm3
volume = 240.1 Å³ per cell

Least stable structure: (b)

(a)
Here is a relaxed LiBPt3 crystal from Alexandria. Energies are from PBEsol.

Cell: 4.114 4.114 4.114 Å, 90.00 90.00 90.00°
Positions (direct):
Li: 0.000 0.000 0.000
B: 0.500 0.500 0.500
Pt: 0.000 0.500 0.500
Pt: 0.500 0.000 0.500
Pt: 0.500 0.500 0.000

## Properties
theoretical density = 14.38 g/cm3
volume = 69.6 Å³ per cell

(b)
Here is a relaxed LiBPt3 crystal from Alexandria. Energies are from PBEsol.

Cell: 9.222 9.222 2.768 Å, 90.00 90.00 120.00°
Positions (direct):
Li: 0.000 0.362 0.000
Li: 0.362 0.000 0.000
Li: 0.638 0.638 0.000
B: 0.000 0.000 0.500
B: 0.333 0.667 0.000
B: 0.667 0.333 0.000
Pt: 0.000 0.822 0.000
Pt: 0.165 0.682 0.500
Pt: 0.178 0.178 0.000
Pt: 0.318 0.483 0.500
Pt: 0.483 0.318 0.500
Pt: 0.517 0.835 0.500
Pt: 0.682 0.165 0.500
Pt: 0.822 0.000 0.000
Pt: 0.835 0.517 0.500

## Properties
theoretical density = 14.73 g/cm3
volume = 203.9 Å³ per cell

Least stable structure: (a)

(a)
Here is a relaxed MgSi2B crystal from Alexandria. Energies are from PBEsol.

Cell: 4.294 4.294 4.294 Å, 60.00 60.00 60.00°
Positions (direct):
Mg: 0.000 0.000 0.000
Si: 0.250 0.250 0.250
Si: 0.750 0.750 0.750
B: 0.500 0.500 0.500

## Properties
theoretical density = 2.71 g/cm3
volume = 56.0 Å³ per cell

(b)
Here is a relaxed MgSi2B crystal from Alexandria. Energies are from PBEsol.

Cell: 5.330 5.330 5.330 Å, 102.02 102.02 125.69°
Positions (direct):
Mg: 0.000 0.000 0.000
Mg: 0.750 0.250 0.500
Si: 0.210 0.625 0.085
Si: 0.375 0.460 0.585
Si: 0.540 0.125 0.915
Si: 0.875 0.790 0.415
B: 0.250 0.750 0.500
B: 0.500 0.500 0.000

## Properties
theoretical density = 2.77 g/cm3
volume = 109.4 Å³ per cell

Least stable structure: (a)